# SrLaAu2

SrLaAu2 after structural relaxation (PBEsol, the Alexandria database).

## Properties
symmetry	No. 123
calculated formation energy	-70.3	kJ/mol of atoms

a b c (Å): 3.7353 3.7353 7.5594
angles (deg): 90.00 90.00 90.00
With the nearest neighbours (Å) after each atom.
Positions (direct):
Sr: 0.0000 0.0000 0.0000  8 Au 3.37, 4 Sr 3.74
La: 0.0000 0.0000 0.5000  8 Au 3.14
Au: 0.5000 0.5000 0.2759  4 La 3.14, 4 Sr 3.37, 1 Au 3.39
Au: 0.5000 0.5000 0.7241  4 La 3.14, 4 Sr 3.37, 1 Au 3.39

***

# Tl2CrAu

Tl2CrAu after structural relaxation (PBEsol, the Alexandria database).

## Properties
symmetry	No. 12
energy relative to the lowest polymorph listed for this composition	0.083	eV per atom
calculated formation energy	46.9	kJ/mol of atoms

a b c (Å): 5.7971 5.7971 3.3048
angles (deg): 106.07 106.07 116.18
With the nearest neighbours (Å) after each atom.
Positions (direct):
Tl: 0.0000 0.5000 0.0000  2 Cr 2.91, 2 Au 2.91, 4 Tl 3.06-3.11
Tl: 0.5000 0.0000 0.0000  2 Cr 2.91, 2 Au 2.91, 4 Tl 3.06-3.11
Cr: 0.0000 0.0000 0.5000  4 Tl 2.91, 4 Au 3.06-3.11
Au: 0.5000 0.5000 0.5000  4 Tl 2.91, 4 Cr 3.06-3.11